No. 1
# PBE-GGA Cs2YTeO6, optimized geometry
# - crystal system = trigonal
# - raw formation energy (eV per atom) = -1.71
# - symmetry = P-3m1
# - size of the total moment (μB/f.u.) = 1.1
data_Cs2YTeO6
_symmetry_space_group_name_H-M 'P 1'
_symmetry_Int_Tables_number 1
_cell_length_a 5.9134
_cell_length_b 6.8768
_cell_length_c 6.8768
_cell_angle_alpha 120.00
_cell_angle_beta 90.00
_cell_angle_gamma 90.00
loop_
_symmetry_equiv_pos_as_xyz
'x,y,z'
loop_
_atom_site_label
_atom_site_fract_x
_atom_site_fract_y
_atom_site_fract_z
Cs1 0.1259 0.3333 0.6667
Cs2 0.8741 0.6667 0.3333
Y1 0.5000 0.0000 0.0000
Te1 0.0000 0.0000 0.0000
O1 0.7940 0.1293 0.2586
O2 0.7940 0.1293 0.8707
O3 0.7940 0.7414 0.8707
O4 0.2060 0.8707 0.1293
O5 0.2060 0.2586 0.1293
O6 0.2060 0.8707 0.7414

No. 2
# PBE-GGA Cs3YTe2O9, optimized geometry
# - crystal system = trigonal
# - raw formation energy (eV per atom) = -1.50
# - symmetry = P-3m1
# - size of the total moment (μB/f.u.) = 0.0
data_Cs3YTe2O9
_symmetry_space_group_name_H-M 'P 1'
_symmetry_Int_Tables_number 1
_cell_length_a 6.0671
_cell_length_b 6.0671
_cell_length_c 7.4290
_cell_angle_alpha 90.00
_cell_angle_beta 90.00
_cell_angle_gamma 120.00
loop_
_symmetry_equiv_pos_as_xyz
'x,y,z'
loop_
_atom_site_label
_atom_site_fract_x
_atom_site_fract_y
_atom_site_fract_z
Cs1 0.3333 0.6667 0.6684
Cs2 0.0000 0.0000 0.0000
Cs3 0.6667 0.3333 0.3316
Y1 0.0000 0.0000 0.5000
Te1 0.3333 0.6667 0.1717
Te2 0.6667 0.3333 0.8283
O1 0.8199 0.1801 0.6848
O2 0.8199 0.6398 0.6848
O3 0.3602 0.1801 0.6848
O4 0.6398 0.8199 0.3152
O5 0.1801 0.3602 0.3152
O6 0.1801 0.8199 0.3152
O7 0.5000 0.0000 0.0000
O8 0.0000 0.5000 0.0000
O9 0.5000 0.5000 0.0000

No. 3
# PBE-GGA CsYTeO4, optimized geometry
# - crystal system = monoclinic
# - raw formation energy (eV per atom) = -2.04
# - symmetry = P2_1/m
# - size of the total moment (μB/f.u.) = 0.0
data_CsYTeO4
_symmetry_space_group_name_H-M 'P 1'
_symmetry_Int_Tables_number 1
_cell_length_a 5.9910
_cell_length_b 6.2452
_cell_length_c 8.9154
_cell_angle_alpha 90.00
_cell_angle_beta 116.19
_cell_angle_gamma 90.00
loop_
_symmetry_equiv_pos_as_xyz
'x,y,z'
loop_
_atom_site_label
_atom_site_fract_x
_atom_site_fract_y
_atom_site_fract_z
Cs1 0.4804 0.7500 0.8638
Cs2 0.5196 0.2500 0.1362
Y1 0.8030 0.7500 0.4639
Y2 0.1970 0.2500 0.5361
Te1 0.1835 0.7500 0.2797
Te2 0.8165 0.2500 0.7203
O1 0.9883 0.4823 0.6515
O2 0.0117 0.9823 0.3485
O3 0.0117 0.5177 0.3485
O4 0.9883 0.0177 0.6515
O5 0.4748 0.7500 0.2142
O6 0.5252 0.2500 0.7858
O7 0.4462 0.7500 0.5029
O8 0.5538 0.2500 0.4971

No. 4
# PBE-GGA Cs2Zn2TeO6, optimized geometry
# - crystal system = trigonal
# - raw formation energy (eV per atom) = -1.32
# - symmetry = R-3m
# - size of the total moment (μB/f.u.) = 0.0
data_Cs2Zn2TeO6
_symmetry_space_group_name_H-M 'P 1'
_symmetry_Int_Tables_number 1
_cell_length_a 5.9472
_cell_length_b 5.9472
_cell_length_c 7.3501
_cell_angle_alpha 66.14
_cell_angle_beta 66.14
_cell_angle_gamma 60.00
loop_
_symmetry_equiv_pos_as_xyz
'x,y,z'
loop_
_atom_site_label
_atom_site_fract_x
_atom_site_fract_y
_atom_site_fract_z
Cs1 0.7930 0.7930 0.6211
Cs2 0.2070 0.2070 0.3789
Zn1 0.3789 0.3789 0.8632
Zn2 0.6211 0.6211 0.1368
Te1 0.0000 0.0000 0.0000
O1 0.7872 0.7872 0.1842
O2 0.2413 0.7872 0.1842
O3 0.7872 0.2413 0.1842
O4 0.2128 0.7587 0.8158
O5 0.7587 0.2128 0.8158
O6 0.2128 0.2128 0.8158

No. 5
# PBE-GGA CsZn4Te3O12, optimized geometry
# - crystal system = trigonal
# - raw formation energy (eV per atom) = -1.09
# - symmetry = R32
# - size of the total moment (μB/f.u.) = 0.0
data_CsZn4Te3O12
_symmetry_space_group_name_H-M 'P 1'
_symmetry_Int_Tables_number 1
_cell_length_a 7.1173
_cell_length_b 7.1173
_cell_length_c 7.1173
_cell_angle_alpha 105.18
_cell_angle_beta 105.18
_cell_angle_gamma 105.18
loop_
_symmetry_equiv_pos_as_xyz
'x,y,z'
loop_
_atom_site_label
_atom_site_fract_x
_atom_site_fract_y
_atom_site_fract_z
Cs1 0.0000 0.0000 0.0000
Zn1 0.9315 0.0685 0.5000
Zn2 0.0685 0.5000 0.9315
Zn3 0.5000 0.9315 0.0685
Zn4 0.5000 0.5000 0.5000
Te1 0.5612 0.4388 0.0000
Te2 0.4388 0.0000 0.5612
Te3 0.0000 0.5612 0.4388
O1 0.5000 0.3278 0.6722
O2 0.8976 0.5000 0.1024
O3 0.1024 0.8976 0.5000
O4 0.5000 0.1024 0.8976
O5 0.3864 0.9973 0.2790
O6 0.2790 0.3864 0.9973
O7 0.9973 0.2790 0.3864
O8 0.6136 0.7210 0.0027
O9 0.0027 0.6136 0.7210
O10 0.7210 0.0027 0.6136
O11 0.6722 0.5000 0.3278
O12 0.3278 0.6722 0.5000

No. 6
# PBE-GGA Cs2ZrTe3O12, optimized geometry
# - crystal system = trigonal
# - raw formation energy (eV per atom) = -1.59
# - symmetry = R-3m
# - size of the total moment (μB/f.u.) = 0.0
data_Cs2ZrTe3O12
_symmetry_space_group_name_H-M 'P 1'
_symmetry_Int_Tables_number 1
_cell_length_a 7.4911
_cell_length_b 7.4911
_cell_length_c 7.4911
_cell_angle_alpha 58.83
_cell_angle_beta 58.83
_cell_angle_gamma 58.83
loop_
_symmetry_equiv_pos_as_xyz
'x,y,z'
loop_
_atom_site_label
_atom_site_fract_x
_atom_site_fract_y
_atom_site_fract_z
Cs1 0.6260 0.6260 0.6260
Cs2 0.3740 0.3740 0.3740
Zr1 0.0000 0.0000 0.0000
Te1 0.5000 0.0000 0.0000
Te2 0.0000 0.5000 0.0000
Te3 0.0000 0.0000 0.5000
O1 0.3201 0.3201 0.9256
O2 0.9329 0.9329 0.3337
O3 0.3337 0.9329 0.9329
O4 0.9256 0.3201 0.3201
O5 0.9329 0.3337 0.9329
O6 0.3201 0.9256 0.3201
O7 0.6799 0.6799 0.0744
O8 0.0671 0.0671 0.6663
O9 0.6663 0.0671 0.0671
O10 0.0744 0.6799 0.6799
O11 0.0671 0.6663 0.0671
O12 0.6799 0.0744 0.6799

No. 7
# PBE-GGA CsZrTeO5, optimized geometry
# - crystal system = monoclinic
# - raw formation energy (eV per atom) = -1.85
# - symmetry = C2/c
# - size of the total moment (μB/f.u.) = 0.0
data_CsZrTeO5
_symmetry_space_group_name_H-M 'P 1'
_symmetry_Int_Tables_number 1
_cell_length_a 6.5045
_cell_length_b 6.5045
_cell_length_c 7.9953
_cell_angle_alpha 104.71
_cell_angle_beta 104.71
_cell_angle_gamma 105.85
loop_
_symmetry_equiv_pos_as_xyz
'x,y,z'
loop_
_atom_site_label
_atom_site_fract_x
_atom_site_fract_y
_atom_site_fract_z
Cs1 0.3293 0.6707 0.2500
Cs2 0.6707 0.3293 0.7500
Zr1 0.0000 0.0000 0.5000
Zr2 0.0000 0.0000 0.0000
Te1 0.6913 0.3087 0.2500
Te2 0.3087 0.6913 0.7500
O1 0.0471 0.9529 0.2500
O2 0.9529 0.0471 0.7500
O3 0.8883 0.2786 0.1072
O4 0.1117 0.7214 0.8928
O5 0.7214 0.1117 0.3928
O6 0.2786 0.8883 0.6072
O7 0.7944 0.6303 0.4047
O8 0.2056 0.3697 0.5953
O9 0.3697 0.2056 0.0953
O10 0.6303 0.7944 0.9047

No. 8
# PBE-GGA Cs3ThO4, optimized geometry
# - crystal system = orthorhombic
# - raw formation energy (eV per atom) = -1.93
# - symmetry = Imm2
# - size of the total moment (μB/f.u.) = 1.1
data_Cs3ThO4
_symmetry_space_group_name_H-M 'P 1'
_symmetry_Int_Tables_number 1
_cell_length_a 7.1970
_cell_length_b 7.1970
_cell_length_c 7.1970
_cell_angle_alpha 90.57
_cell_angle_beta 118.43
_cell_angle_gamma 120.93
loop_
_symmetry_equiv_pos_as_xyz
'x,y,z'
loop_
_atom_site_label
_atom_site_fract_x
_atom_site_fract_y
_atom_site_fract_z
Cs1 0.5138 0.2193 0.7331
Cs2 0.0706 0.0000 0.0706
Cs3 0.5138 0.7807 0.2945
Th1 0.0311 0.5000 0.5311
O1 0.1447 0.6939 0.8386
O2 0.1447 0.3061 0.4509
O3 0.6176 0.2514 0.3661
O4 0.1147 0.7486 0.3661